Computed, not measured: an optimized crystal structure of MgMnCo at the PBE level of DFT.

As for the polymorph energy (0 for the lowest one): 1.547 eV/atom. As for the space group: No. 194.

Lattice parameters (Å, degrees): 4.567 4.567 8.929 90.00 90.00 120.00
Element x y z (fractional)
Mg (0.333, 0.667, 0.250)
Mg (0.667, 0.333, 0.750)
Mn (0.000, 0.000, 0.250)
Mn (0.000, 0.000, 0.750)
Co (0.000, 0.000, 0.000)
Co (0.000, 0.000, 0.500)

***

Computed, not measured: an optimized crystal structure of LiHfZn2F at the PBE level of DFT.

As for the space group: No. 123. The value obtained for the raw formation energy is 0.73 eV per atom.

Lattice parameters (Å, degrees): 5.314 6.160 5.314 90.00 90.00 90.00
Element x y z (fractional)
Zn (0.000, 0.000, 0.500)
Zn (0.500, 0.000, 0.000)
Li (0.000, 0.500, 0.000)
Hf (0.000, 0.000, 0.000)
F (0.500, 0.500, 0.500)

***

Computed, not measured: an optimized crystal structure of CsTa2O6 at the PBE level of DFT.

As for the space group: No. 227. The value obtained for the raw formation energy is -2.54 eV per atom.

Lattice parameters (Å, degrees): 7.521 7.521 7.521 60.00 60.00 60.00
Element x y z (fractional)
Cs (0.500, 0.500, 0.500)
Cs (0.750, 0.750, 0.750)
Ta (0.125, 0.125, 0.125)
Ta (0.125, 0.625, 0.125)
Ta (0.125, 0.125, 0.625)
Ta (0.625, 0.125, 0.125)
O (0.187, 0.187, 0.813)
O (0.813, 0.813, 0.187)
O (0.187, 0.813, 0.187)
O (0.187, 0.813, 0.813)
O (0.437, 0.437, 0.063)
O (0.437, 0.063, 0.063)
O (0.813, 0.187, 0.813)
O (0.063, 0.063, 0.437)
O (0.437, 0.063, 0.437)
O (0.063, 0.437, 0.437)
O (0.813, 0.187, 0.187)
O (0.063, 0.437, 0.063)

***

Computed, not measured: an optimized crystal structure of CdCo2W at the PBE level of DFT.

As for the total energy: -6.69 eV/atom. As for the space group: No. 166.

Lattice parameters (Å, degrees): 8.836 8.836 8.836 18.16 18.16 18.16
Element x y z (fractional)
Cd (0.750, 0.750, 0.750)
Co (0.994, 0.994, 0.994)
Co (0.506, 0.506, 0.506)
W (0.250, 0.250, 0.250)

***

Computed Fermi-level density of states, in the same sequence as the records: 10.6; 4.2; 11.8; 4.3 states/eV per cell.